Entry 1:
Material: TbHo5Pb5
Method: DFT, PBE
State: optimized geometry

abc: 6.250 8.448 7.355
angles: 102.15 90.00 111.71
Fractional positions:
Pb: 0.832 0.665 0.659
Pb: 0.169 0.337 0.824
Pb: 0.500 0.000 0.000
Pb: 0.168 0.335 0.341
Pb: 0.831 0.663 0.176
Ho: 0.341 0.683 0.664
Ho: 0.000 0.000 0.500
Ho: 0.335 0.670 0.165
Ho: 0.665 0.330 0.835
Ho: 0.659 0.317 0.336
Tb: 0.000 0.000 0.000

Summary:
Formation energy ... -24.7 kJ/mol of atoms
V ... 31.94 Å³/atom


Entry 2:
Material: ScTlZn
Method: DFT, PBE
State: optimized geometry

abc: 6.777 4.566 5.272
angles: 64.30 78.35 109.63
Fractional positions:
Zn: 0.802 0.558 0.289
Zn: 0.986 0.447 0.695
Sc: 0.294 0.089 0.718
Sc: 0.678 0.758 0.765
Tl: 0.136 0.273 0.191
Tl: 0.511 0.937 0.238

Summary:
Formation energy ... -15.0 kJ/mol of atoms
V ... 21.05 Å³/atom